# GGA-PBE PmCu8Ni4, relaxed
# calculated formation energy = -0.1038 eV/atom
# DFT total energy = -4.77 eV per atom
# total magnetic moment = 0.000 μB per formula unit
data_PmCu8Ni4
_chemical_formula_sum 'Pm1 Cu8 Ni4'
_cell_length_a 6.399
_cell_length_b 6.399
_cell_length_c 6.399
_cell_angle_alpha 98.26
_cell_angle_beta 98.26
_cell_angle_gamma 135.44
_symmetry_space_group_name_H-M 'P 1'
_symmetry_Int_Tables_number 1
loop_
_symmetry_equiv_pos_as_xyz
'x,y,z'
loop_
_atom_site_label
_atom_site_type_symbol
_atom_site_fract_x
_atom_site_fract_y
_atom_site_fract_z
Pm1 Pm 0.000 0.000 0.000
Cu1 Cu 0.000 0.352 0.352
Cu2 Cu 0.000 0.648 0.648
Cu3 Cu 0.274 0.500 0.774
Cu4 Cu 0.352 0.000 0.352
Cu5 Cu 0.500 0.274 0.774
Cu6 Cu 0.500 0.726 0.226
Cu7 Cu 0.648 0.000 0.648
Cu8 Cu 0.726 0.500 0.226
Ni1 Ni 0.000 0.000 0.500
Ni2 Ni 0.000 0.500 0.000
Ni3 Ni 0.500 0.000 0.000
Ni4 Ni 0.500 0.500 0.500